Mg2TlH2 | PBE | optimized geometry

Structure (POSCAR):
```
Mg2TlH2
1.0
7.108 0.000 0.000
0.000 7.108 0.000
0.000 0.000 3.097
Mg Tl H
4 2 4
direct
0.140 0.360 0.000 Mg
0.360 0.860 0.000 Mg
0.640 0.140 0.000 Mg
0.860 0.640 0.000 Mg
0.000 0.000 0.500 Tl
0.500 0.500 0.500 Tl
0.105 0.605 0.500 H
0.395 0.105 0.500 H
0.605 0.895 0.500 H
0.895 0.395 0.500 H
```

Summary:
SG = P4/mbm
energy relative to the lowest polymorph listed for this composition = 377 meV/atom
calculated volume = 156 Å³ per cell